No. 1
Computed, not measured: a relaxed KErSO crystal at the GGA-PBE level of DFT.

Cell lengths 8.025, 9.047, 5.437 Å; angles 90.00, 90.00, 90.00 degrees
Sites, in units of the cell vectors:
Er 0.938 0.354 0.064
Er 0.438 0.646 0.064
Er 0.562 0.354 0.564
Er 0.062 0.646 0.564
K 0.382 0.095 0.059
K 0.882 0.905 0.059
K 0.118 0.095 0.559
K 0.618 0.905 0.559
O 0.050 0.160 0.063
O 0.550 0.840 0.063
O 0.450 0.160 0.563
O 0.950 0.840 0.563
S 0.601 0.385 0.064
S 0.101 0.615 0.064
S 0.899 0.385 0.564
S 0.399 0.615 0.564

The value obtained for the total energy is -92.56 eV per cell. The value obtained for the energy above the most stable polymorph in this dataset is 0.240 eV per atom.

No. 2
Computed, not measured: a relaxed KErSO crystal at the GGA-PBE level of DFT.

Cell lengths 7.512, 7.253, 6.371 Å; angles 90.00, 103.59, 90.00 degrees
Sites, in units of the cell vectors:
Er 0.527 0.627 0.229
Er 0.473 0.127 0.271
Er 0.527 0.873 0.729
Er 0.473 0.373 0.771
K 0.083 0.739 0.004
K 0.917 0.239 0.496
K 0.083 0.761 0.504
K 0.917 0.261 0.996
O 0.606 0.353 0.121
O 0.394 0.853 0.379
O 0.606 0.147 0.621
O 0.394 0.647 0.879
S 0.748 0.909 0.150
S 0.252 0.409 0.350
S 0.748 0.591 0.650
S 0.252 0.091 0.850

The value obtained for the total energy is -96.40 eV per cell. The value obtained for the energy above the most stable polymorph in this dataset is 0.000 eV per atom.

No. 3
Computed, not measured: a relaxed KErSO crystal at the GGA-PBE level of DFT.

Cell lengths 4.353, 7.971, 6.378 Å; angles 90.00, 90.00, 90.00 degrees
Sites, in units of the cell vectors:
Er 0.500 0.872 0.042
Er 0.500 0.128 0.542
K 0.000 0.305 0.110
K 0.000 0.695 0.610
O 0.500 0.092 0.217
O 0.500 0.908 0.717
S 0.000 0.702 0.122
S 0.000 0.298 0.622

The value obtained for the total energy is -47.39 eV per cell. The value obtained for the energy above the most stable polymorph in this dataset is 0.101 eV per atom.

No. 4
Computed, not measured: a relaxed KErSO crystal at the GGA-PBE level of DFT.

Cell lengths 5.653, 5.637, 11.127 Å; angles 90.00, 104.39, 90.00 degrees
Sites, in units of the cell vectors:
Er 0.546 0.354 0.096
Er 0.046 0.854 0.096
Er 0.954 0.354 0.904
Er 0.454 0.854 0.904
K 0.939 0.122 0.396
K 0.438 0.622 0.396
K 0.562 0.122 0.604
K 0.061 0.622 0.604
O 0.750 0.105 0.000
O 0.250 0.605 0.000
O 0.750 0.602 0.000
O 0.250 0.102 0.000
S 0.383 0.120 0.286
S 0.882 0.620 0.286
S 0.118 0.120 0.714
S 0.617 0.620 0.714

The value obtained for the total energy is -95.82 eV per cell. The value obtained for the energy above the most stable polymorph in this dataset is 0.036 eV per atom.

No. 5
Computed, not measured: a relaxed KErSO crystal at the GGA-PBE level of DFT.

Cell lengths 4.022, 4.022, 9.756 Å; angles 90.00, 90.00, 90.00 degrees
Sites, in units of the cell vectors:
Er 0.250 0.250 0.103
Er 0.750 0.750 0.897
K 0.750 0.250 0.500
K 0.250 0.750 0.500
O 0.750 0.250 0.000
O 0.250 0.750 0.000
S 0.750 0.750 0.274
S 0.250 0.250 0.726

The value obtained for the total energy is -45.86 eV per cell. The value obtained for the energy above the most stable polymorph in this dataset is 0.292 eV per atom.

No. 6
Computed, not measured: a relaxed KErSO crystal at the GGA-PBE level of DFT.

Cell lengths 7.194, 7.194, 7.194 Å; angles 29.63, 29.63, 29.63 degrees
Sites, in units of the cell vectors:
Er 0.988 0.988 0.988
K 0.505 0.505 0.505
O 0.274 0.274 0.274
S 0.734 0.734 0.734

The value obtained for the total energy is -23.72 eV per cell. The value obtained for the energy above the most stable polymorph in this dataset is 0.094 eV per atom.

No. 7
Computed, not measured: a relaxed KErSeO crystal at the GGA-PBE level of DFT.

Cell lengths 4.087, 4.087, 10.059 Å; angles 90.00, 90.00, 90.00 degrees
Sites, in units of the cell vectors:
Er 0.250 0.250 0.096
Er 0.750 0.750 0.904
K 0.750 0.250 0.500
K 0.250 0.750 0.500
O 0.750 0.250 0.000
O 0.250 0.750 0.000
Se 0.750 0.750 0.269
Se 0.250 0.250 0.731

The value obtained for the total energy is -44.49 eV per cell. The value obtained for the energy above the most stable polymorph in this dataset is 0.241 eV per atom.

No. 8
Computed, not measured: a relaxed KErSeO crystal at the GGA-PBE level of DFT.

Cell lengths 5.748, 5.743, 11.640 Å; angles 90.00, 105.63, 90.00 degrees
Sites, in units of the cell vectors:
Er 0.546 0.349 0.089
Er 0.046 0.849 0.089
Er 0.954 0.349 0.911
Er 0.454 0.849 0.911
K 0.942 0.128 0.394
K 0.442 0.628 0.394
K 0.558 0.128 0.606
K 0.058 0.628 0.606
O 0.250 0.095 0.000
O 0.750 0.096 0.000
O 0.750 0.595 0.000
O 0.250 0.596 0.000
Se 0.378 0.128 0.281
Se 0.878 0.628 0.281
Se 0.122 0.128 0.719
Se 0.622 0.628 0.719

The value obtained for the total energy is -92.72 eV per cell. The value obtained for the energy above the most stable polymorph in this dataset is 0.008 eV per atom.